{
  "formula": "Nd4CuAg3",
  "functional": "PBE",
  "state": "optimized geometry",
  "e_above_lowest_polymorph_ev_per_atom": 0.000,
  "spacegroup": "P4/mmm (123)",
  "n_ef_per_ev_cell": 6.81,
  "lattice": [[3.7109, 0.0000, 0.0000], [0.0000, 3.7109, 0.0000], [0.0000, 0.0000, 14.9409]],
  "species": ["Nd", "Nd", "Nd", "Nd", "Cu", "Ag", "Ag", "Ag"],
  "frac_coords": [[0.0000, 0.0000, 0.1158], [0.0000, 0.0000, 0.3724], [0.0000, 0.0000, 0.6276], [0.0000, 0.0000, 0.8842], [0.5000, 0.5000, 0.0000], [0.5000, 0.5000, 0.2449], [0.5000, 0.5000, 0.5000], [0.5000, 0.5000, 0.7551]]
}